# 1
Density functional theory data (PBE) for a relaxed structure of TiNb2O7.

```
30
Lattice="-9.5918 3.2130 2.8389 -8.4314 1.4982 6.0870 -1.3079 10.4960 6.0082" Properties=species:S:1:pos:R:3 pbc="T T T"
Ti -13.2236 7.1280 8.4871
Ti -6.1296 8.0178 6.4225
Ti -14.6158 3.9569 7.3105
Nb -17.4052 11.0946 12.0751
Nb -1.9040 4.1619 2.8773
Nb -16.4567 8.0612 10.1348
Nb -2.8741 7.1328 4.7923
Nb -19.2392 15.1824 14.8883
Nb -4.6914 11.2510 7.6156
O -12.0665 9.0330 9.0794
O -7.2682 6.1857 5.8621
O -17.3504 6.5381 9.6501
O -1.9768 8.6554 5.2755
O -11.2733 6.7900 7.6119
O -8.0615 8.4369 7.3339
O -16.8023 12.6790 12.6961
O -2.5115 2.5673 2.2526
O -16.2282 4.3641 8.1015
O -3.0914 10.8432 6.8287
O -15.6783 10.1712 10.9707
O -3.6624 5.0309 3.9643
O -14.1032 13.8164 12.3323
O -5.2486 1.4251 2.6274
O -14.7430 7.7442 9.3553
O -4.6053 7.4524 5.5795
O -13.8063 5.5878 7.8822
O -5.5562 9.5865 7.0458
O -18.1257 8.9555 11.2032
O -1.2010 6.2598 3.7337
O -10.3859 12.8509 10.4945
```

Properties
For the size of the total moment, the calculation gives 0.00 μB per formula unit. The space-group type is Cm (8).


# 2
Density functional theory data (PBE) for a relaxed structure of TiNb2O7.

```
30
Lattice="1.9287 10.4577 -0.0018 -1.9287 10.4577 -0.0018 0.0000 6.2056 10.3790" Properties=species:S:1:pos:R:3 pbc="T T T"
Ti 0.0000 10.1121 6.6395
Ti 0.0000 16.8549 3.7665
Ti 0.0000 3.8939 3.8222
Nb 0.0000 3.8455 0.0501
Nb 0.0000 17.1020 0.0222
Nb 0.0000 20.6969 3.8956
Nb 0.0000 6.3581 6.5141
Nb 0.0000 0.0300 0.0490
Nb 0.0000 23.2533 6.5093
O 0.0000 6.0576 8.3219
O 0.0000 21.0533 2.0428
O 0.0000 10.3908 4.3847
O 0.0000 16.7354 5.9944
O 0.0000 21.0372 10.3511
O 0.0000 6.1095 0.0067
O 0.0000 18.9346 0.1239
O 0.0000 8.2038 10.2470
O 0.0000 10.2243 8.3819
O 0.0000 16.9044 1.9903
O 0.0000 6.1277 4.1821
O 0.0000 20.9790 6.1790
O 0.0000 4.1586 6.0483
O 0.0000 23.0572 4.3400
O 0.0000 23.3251 8.3930
O 0.0000 3.8216 1.9738
O 0.0000 14.8518 3.8828
O 0.0000 12.2696 6.4631
O 0.0000 16.6557 10.3050
O 0.0000 18.8526 3.9286
O 0.0000 8.2542 6.4441
```

Properties
For the size of the total moment, the calculation gives 0.00 μB per formula unit. The space-group type is Cm (8).


# 3
Density functional theory data (PBE) for a relaxed structure of Ti3NbO.

```
5
Lattice="4.1806 0.0000 0.0000 0.0000 4.1806 0.0000 0.0000 0.0000 4.1806" Properties=species:S:1:pos:R:3 pbc="T T T"
Nb 2.0903 2.0903 2.0903
O 0.0000 0.0000 0.0000
Ti 0.0000 2.0903 0.0000
Ti 0.0000 0.0000 2.0903
Ti 2.0903 0.0000 0.0000
```

Properties
For the size of the total moment, the calculation gives 0.00 μB per formula unit. The space-group type is Pm-3m (221).


# 4
Density functional theory data (PBE) for a relaxed structure of TiNb3O8.

```
24
Lattice="6.1667 0.0000 0.0000 -3.0833 5.3405 0.0000 0.0000 0.0000 9.3496" Properties=species:S:1:pos:R:3 pbc="T T T"
Ti 3.0833 1.7802 9.2435
Ti 0.0000 3.5603 4.5688
Nb 3.0833 3.5280 6.6419
Nb 1.5696 0.9062 6.6419
Nb 4.5970 0.9062 6.6419
Nb -1.5137 4.4343 1.9671
Nb 1.5137 4.4343 1.9671
Nb 0.0000 1.8125 1.9671
O 3.0833 3.4873 0.9365
O 1.7797 2.5328 7.8826
O 3.0833 1.7802 5.5245
O 0.0000 0.0000 7.6351
O 0.0000 0.0000 2.9603
O 1.6049 0.9266 0.9365
O 4.3870 2.5328 7.8826
O 3.0833 0.2749 7.8826
O -1.4784 4.4139 5.6113
O 4.5618 0.9266 0.9365
O 0.0000 5.0656 3.2078
O -1.3036 2.8077 3.2078
O 0.0000 3.5603 0.8497
O 1.4784 4.4139 5.6113
O 1.3036 2.8077 3.2078
O 0.0000 1.8532 5.6113
```

Properties
For the size of the total moment, the calculation gives 0.00 μB per formula unit. The space-group type is P6_3mc (186).


# 5
Density functional theory data (PBE) for a relaxed structure of Ti2NbO6.

```
9
Lattice="-2.1555 -2.0572 2.0930 2.2893 -0.9729 4.5688 -2.1425 3.9892 4.8820" Properties=species:S:1:pos:R:3 pbc="T T T"
Ti -0.5075 2.3337 8.1061
Ti -1.5013 -1.3746 3.4377
Nb 0.0734 1.5082 4.7254
O -1.9399 1.6231 9.1000
O -0.0688 -0.6640 2.4439
O -0.6807 -1.9486 6.8861
O -0.5141 1.0115 6.7997
O -1.3280 2.9077 4.6578
O -1.4947 -0.0523 4.7442
```

Properties
For the size of the total moment, the calculation gives 1.00 μB per formula unit. The space-group type is C2/m (12).


# 6
Density functional theory data (PBE) for a relaxed structure of TiNbO4.

```
12
Lattice="-2.9041 -3.1754 2.4426 2.7948 -3.7645 -1.5710 2.8687 0.4575 4.0056" Properties=species:S:1:pos:R:3 pbc="T T T"
Ti 2.8317 -1.6535 1.2173
Ti -0.0547 -3.4699 0.4358
Nb -0.0177 -1.3589 3.2241
Nb 0.0000 0.0000 0.0000
O 0.6296 -5.0836 1.6585
O 2.0645 -4.8542 3.6608
O 2.0809 -3.4959 0.4367
O -0.7567 -3.2161 2.4384
O 3.5161 -3.2662 2.4388
O 0.6785 -2.9864 4.4405
O 0.6948 -1.6281 1.2164
O 2.1298 -1.3987 3.2187
```

Properties
For the size of the total moment, the calculation gives 1.00 μB per formula unit. The space-group type is P4/mmm (123).


Number 1: DOS(E_F) 0.000 states/eV/cell, formation energy without anion corrections -2.69 eV per atom. Number 2: DOS(E_F) 0.000 states/eV/cell, formation energy without anion corrections -2.68 eV per atom. Number 3: DOS(E_F) 3.137 states/eV/cell, formation energy without anion corrections -1.07 eV per atom. Number 4: DOS(E_F) 11.236 states/eV/cell, formation energy without anion corrections -2.45 eV per atom. Number 5: DOS(E_F) 1.162 states/eV/cell, formation energy without anion corrections -2.73 eV per atom. Number 6: DOS(E_F) 6.187 states/eV/cell, formation energy without anion corrections -2.51 eV per atom.